La4Y3Ho4 | PBE | optimized geometry

a = 10.7504 Å, b = 6.6846 Å, c = 6.6846 Å
α = 51.02°, β = 90.00°, γ = 90.00°
Element x y z (fractional)
La 0.0000 0.0000 0.0000
La 0.2042 0.8036 0.8036
La 0.5000 0.9210 0.9210
La 0.7958 0.8036 0.8036
Y 0.0000 0.2945 0.2945
Y 0.2871 0.4561 0.4561
Y 0.7129 0.4561 0.4561
Ho 0.0000 0.5935 0.5935
Ho 0.3064 0.1485 0.1485
Ho 0.5000 0.6484 0.6484
Ho 0.6936 0.1485 0.1485

formation enthalpy at 0 K = 1.610 eV/f.u.
electronic total energy = -55.803 eV for the cell shown
total magnetic moment = 0.0 Bohr magnetons per cell